Crystalline FeGe2HO6 at its relaxed geometry, computed with PBE with a Hubbard U.

POSCAR file:
```
FeGe2HO6
1.0
-3.8254 1.3026 -3.7201
-2.7494 -6.0192 -1.2038
-5.2892 1.2635 3.9581
Fe Ge H O
2 4 2 12
direct
0.2500 0.8765 0.1235
0.7500 0.1235 0.8765
0.2692 0.8079 0.6189
0.2308 0.3811 0.1920
0.7308 0.1920 0.3811
0.7692 0.6189 0.8079
0.2500 0.1194 0.8806
0.7500 0.8806 0.1194
0.1470 0.9932 0.8205
0.3530 0.1795 0.0068
0.8530 0.0068 0.1795
0.6470 0.8205 0.9932
0.3137 0.9207 0.3796
0.1863 0.6204 0.0793
0.6863 0.0793 0.6204
0.8137 0.3796 0.9207
0.0339 0.6616 0.6324
0.4661 0.3676 0.3384
0.9661 0.3384 0.3676
0.5339 0.6324 0.6616
```

Results
Final energy in eV/cell: -124.23
Calculated volume in Å³ per cell: 239